Density functional theory data (PBE) for crystalline Ti6Cu3N at its relaxed geometry.

## Properties
Its density of states at the Fermi level is 0.97 states/eV per atom. Its electronic total energy is -7.0899 eV/atom. The calculation puts the energy relative to the elements, uncorrected at -2.9 eV per formula unit.

abc: 5.493 7.058 8.508
angles: 90.00 117.20 90.00
Element x y z (fractional)
Ti (0.065, 0.066, 0.247)
Ti (0.065, 0.434, 0.747)
Ti (0.203, 0.744, 0.074)
Ti (0.203, 0.756, 0.574)
Ti (0.367, 0.137, 0.038)
Ti (0.367, 0.363, 0.538)
Ti (0.633, 0.637, 0.462)
Ti (0.633, 0.863, 0.962)
Ti (0.797, 0.244, 0.426)
Ti (0.797, 0.256, 0.926)
Ti (0.935, 0.566, 0.253)
Ti (0.935, 0.934, 0.753)
Cu (0.312, 0.098, 0.707)
Cu (0.312, 0.402, 0.207)
Cu (0.500, 0.000, 0.500)
Cu (0.500, 0.500, 0.000)
Cu (0.688, 0.598, 0.793)
Cu (0.688, 0.902, 0.293)
N (0.000, 0.000, 0.000)
N (0.000, 0.500, 0.500)